First-principles (PBE-GGA) data for an optimized crystal structure of RbBaTl2Sb2, as listed in Alexandria via LeMat-Bulk.

abc: 5.5696 5.5696 8.1831
angles: 90.00 90.00 120.00
Fractional positions:
1 Sb 0.3333 0.6667 0.2397
2 Ba 0.0000 0.0000 0.0000
3 Sb 0.6667 0.3333 0.7603
4 Tl 0.6667 0.3333 0.3165
5 Rb 0.0000 0.0000 0.5000
6 Tl 0.3333 0.6667 0.6835

Output
Total energy ... -18.23 eV for the cell shown
ΔE_f (raw) ... -394 meV/atom

***

First-principles (PBE-GGA) data for an optimized crystal structure of RbBaSc2, as listed in Alexandria via LeMat-Bulk.

abc: 13.4406 13.4406 13.4406
angles: 15.36 15.36 15.36
Fractional positions:
1 Rb 0.0000 0.0000 0.0000
2 Ba 0.5000 0.5000 0.5000
3 Sc 0.0893 0.0893 0.0893
4 Sc 0.9107 0.9107 0.9107

Output
Total energy ... -12.93 eV for the cell shown
Energy relative to the elements ... 655 meV per atom

***

First-principles (PBE-GGA) data for an optimized crystal structure of RbBaSc3, as listed in Alexandria via LeMat-Bulk.

abc: 5.7920 5.7920 5.7920
angles: 90.00 90.00 90.00
Fractional positions:
1 Sc 0.0000 0.0000 0.5000
2 Sc 0.5000 0.0000 0.0000
3 Sc 0.0000 0.5000 0.0000
4 Rb 0.5000 0.5000 0.5000
5 Ba 0.0000 0.0000 0.0000

Output
Total energy ... -16.11 eV for the cell shown
Energy relative to the elements ... 1156 meV per atom

***

First-principles (PBE-GGA) data for an optimized crystal structure of RbBaSc2, as listed in Alexandria via LeMat-Bulk.

abc: 6.1181 6.1181 6.1181
angles: 60.00 60.00 60.00
Last column: magnetic moment on the atom in μB.
Fractional positions:
1 Sc 0.2500 0.2500 0.2500  0.26
2 Sc 0.7500 0.7500 0.7500  0.26
3 Rb 0.0000 0.0000 0.0000  0.01
4 Ba 0.5000 0.5000 0.5000  0.05

Output
Total energy ... -12.28 eV for the cell shown
Energy relative to the elements ... 818 meV per atom

***

First-principles (PBE-GGA) data for an optimized crystal structure of RbBaSc2, as listed in Alexandria via LeMat-Bulk.

abc: 4.7714 4.7714 13.7610
angles: 80.02 80.02 90.00
Last column: magnetic moment on the atom in μB.
Fractional positions:
1 Rb 0.2500 0.7500 0.5000  0.00
2 Sc 0.8750 0.8813 0.7500  0.36
3 Sc 0.3750 0.3687 0.7500  0.36
4 Ba 0.7500 0.2500 0.5000  0.00
5 Sc 0.6313 0.1250 0.2500  0.35
6 Sc 0.1187 0.6250 0.2500  0.35
7 Ba 0.0000 0.0000 0.0000  0.00
8 Rb 0.5000 0.5000 0.0000  0.00

Output
Total energy ... -24.32 eV for the cell shown
Energy relative to the elements ... 849 meV per atom

***

First-principles (PBE-GGA) data for an optimized crystal structure of RbBa3Sc, as listed in Alexandria via LeMat-Bulk.

abc: 6.9732 6.9732 6.9732
angles: 90.00 90.00 90.00
Last column: magnetic moment on the atom in μB.
Fractional positions:
1 Sc 0.0000 0.0000 0.0000  1.07
2 Ba 0.0000 0.0000 0.5000  0.20
3 Ba 0.5000 0.0000 0.0000  0.13
4 Rb 0.5000 0.5000 0.5000  0.00
5 Ba 0.0000 0.5000 0.0000  0.18

Output
Total energy ... -10.89 eV for the cell shown
Energy relative to the elements ... 435 meV per atom

***

First-principles (PBE-GGA) data for an optimized crystal structure of RbBa3Sc, as listed in Alexandria via LeMat-Bulk.

abc: 6.5280 6.5280 6.5280
angles: 90.00 90.00 90.00
Fractional positions:
1 Ba 0.0000 0.5000 0.0000
2 Ba 0.5000 0.0000 0.0000
3 Rb 0.0000 0.0000 0.0000
4 Ba 0.0000 0.0000 0.5000
5 Sc 0.5000 0.5000 0.5000

Output
Total energy ... -8.08 eV for the cell shown
Energy relative to the elements ... 997 meV per atom

***

First-principles (PBE-GGA) data for an optimized crystal structure of Rb2BaSc, as listed in Alexandria via LeMat-Bulk.

abc: 5.4311 5.4311 15.8548
angles: 80.14 80.14 90.00
Last column: magnetic moment on the atom in μB.
Fractional positions:
1 Ba 0.0000 0.0000 0.0000  0.05
2 Rb 0.8750 0.8637 0.7500  0.01
3 Sc 0.5000 0.5000 0.0000  0.49
4 Rb 0.3750 0.3863 0.7500  0.01
5 Rb 0.1363 0.6250 0.2500  0.01
6 Sc 0.2500 0.7500 0.5000  0.49
7 Rb 0.6137 0.1250 0.2500  0.01
8 Ba 0.7500 0.2500 0.5000  0.05

Output
Total energy ... -15.18 eV for the cell shown
Energy relative to the elements ... 650 meV per atom

***

First-principles (PBE-GGA) data for an optimized crystal structure of Rb2BaSc, as listed in Alexandria via LeMat-Bulk.

abc: 6.8274 6.8274 6.8274
angles: 60.00 60.00 60.00
Last column: magnetic moment on the atom in μB.
Fractional positions:
1 Rb 0.2500 0.2500 0.2500  0.02
2 Ba 0.5000 0.5000 0.5000  0.12
3 Sc 0.0000 0.0000 0.0000  0.85
4 Rb 0.7500 0.7500 0.7500  0.02

Output
Total energy ... -7.54 eV for the cell shown
Energy relative to the elements ... 663 meV per atom

***

First-principles (PBE-GGA) data for an optimized crystal structure of RbBa2ScSe, as listed in Alexandria via LeMat-Bulk.

abc: 6.3797 5.1361 6.3797
angles: 90.00 90.00 90.00
Fractional positions:
1 Rb 0.0000 0.0000 0.0000
2 Sc 0.0000 0.5000 0.0000
3 Ba 0.5000 0.0000 0.0000
4 Ba 0.0000 0.0000 0.5000
5 Se 0.5000 0.5000 0.5000

Output
Total energy ... -10.55 eV for the cell shown
ΔE_f (raw) ... 817 meV/atom

***

First-principles (PBE-GGA) data for an optimized crystal structure of Rb2BaSrSc, as listed in Alexandria via LeMat-Bulk.

abc: 7.0473 6.7782 7.0473
angles: 90.00 90.00 90.00
Last column: magnetic moment on the atom in μB.
Fractional positions:
1 Rb 0.0000 0.0000 0.5000  0.04
2 Sc 0.0000 0.0000 0.0000  1.09
3 Ba 0.5000 0.5000 0.5000  0.06
4 Rb 0.5000 0.0000 0.0000  0.03
5 Sr 0.0000 0.5000 0.0000  0.13

Output
Total energy ... -8.37 eV for the cell shown
Energy relative to the elements ... 700 meV per atom

***

First-principles (PBE-GGA) data for an optimized crystal structure of RbBaSe, as listed in Alexandria via LeMat-Bulk.

abc: 4.8207 4.8261 16.6472
angles: 97.51 90.00 119.96
Fractional positions:
1 Rb 0.6042 0.2085 0.8562
2 Ba 0.2031 0.4061 0.6314
3 Ba 0.7969 0.5939 0.3686
4 Se 0.1016 0.2031 0.2733
5 Rb 0.3958 0.7915 0.1438
6 Se 0.8984 0.7969 0.7267

Output
Total energy ... -19.81 eV for the cell shown
ΔE_f (raw) ... -1177 meV/atom

***

First-principles (PBE-GGA) data for an optimized crystal structure of Rb2BaSe4, as listed in Alexandria via LeMat-Bulk.

abc: 6.2486 6.2486 9.8441
angles: 71.50 71.50 90.00
Last column: magnetic moment on the atom in μB.
Fractional positions:
1 Se 0.1839 0.1839 0.6322  0.70
2 Se 0.8161 0.8161 0.3678  0.70
3 Rb 0.3792 0.3792 0.2417  0.00
4 Ba 0.0000 0.0000 0.0000  0.01
5 Se 0.5000 0.0000 0.0000  0.45
6 Rb 0.6208 0.6208 0.7583  0.00
7 Se 0.0000 0.5000 0.0000  0.45

Output
Total energy ... -21.39 eV for the cell shown
ΔE_f (raw) ... -514 meV/atom

***

First-principles (PBE-GGA) data for an optimized crystal structure of RbBaSe2, as listed in Alexandria via LeMat-Bulk.

abc: 7.3184 7.3184 9.6615
angles: 67.74 67.74 90.00
Last column: magnetic moment on the atom in μB.
Fractional positions:
1 Rb 0.2500 0.7500 0.5000  0.01
2 Ba 0.0000 0.0000 0.0000  0.00
3 Se 0.3750 0.3413 0.7500  0.25
4 Ba 0.7500 0.2500 0.5000  0.00
5 Se 0.6587 0.1250 0.2500  0.27
6 Se 0.0913 0.6250 0.2500  0.28
7 Rb 0.5000 0.5000 0.0000  0.01
8 Se 0.8750 0.9087 0.7500  0.26

Output
Total energy ... -28.16 eV for the cell shown
ΔE_f (raw) ... -1055 meV/atom